No. 1
Crystalline NaTaCoB at its relaxed geometry, computed with GGA-PBE.

Symmetry ... F-43m (216)

Lattice parameters (Å, degrees): 4.1875 4.1875 4.1875 60.00 60.00 60.00
Closest atoms and distances in Å follow each position.
Fractional coordinates of all 4 atoms:
Na  0.0000  0.0000  0.0000  4 Co 2.56, 4 B 2.56
Ta  0.5000  0.5000  0.5000  4 Co 2.56, 4 B 2.56
Co  0.7500  0.7500  0.7500  4 Ta 2.56, 4 Na 2.56
B  0.2500  0.2500  0.2500  4 Ta 2.56, 4 Na 2.56

***

No. 2
Crystalline NaTaCoB at its relaxed geometry, computed with GGA-PBE.

Symmetry ... F-43m (216)

Lattice parameters (Å, degrees): 4.1084 4.1084 4.1084 60.00 60.00 60.00
Closest atoms and distances in Å follow each position.
Fractional coordinates of all 4 atoms:
Na  0.0000  0.0000  0.0000  4 Ta 2.52, 4 B 2.52
Ta  0.2500  0.2500  0.2500  4 Co 2.52, 4 Na 2.52
Co  0.5000  0.5000  0.5000  4 Ta 2.52, 4 B 2.52
B  0.7500  0.7500  0.7500  4 Co 2.52, 4 Na 2.52

***

No. 3
Crystalline Nb3CoB2 at its relaxed geometry, computed with GGA-PBE.

Symmetry ... P6_3/mmc (194)

Lattice parameters (Å, degrees): 3.2239 3.2239 17.8982 90.00 90.00 120.00
Closest atoms and distances in Å follow each position.
Fractional coordinates of all 12 atoms:
Nb  0.0000  0.0000  0.0000  6 B 2.32
Nb  0.0000  0.0000  0.5000  6 B 2.32
Nb  0.3333  0.6667  0.1482  3 B 2.26
Nb  0.3333  0.6667  0.3518  3 B 2.26
Nb  0.6667  0.3333  0.6482  3 B 2.26
Nb  0.6667  0.3333  0.8518  3 B 2.26
Co  0.0000  0.0000  0.2500  6 Nb 2.60
Co  0.0000  0.0000  0.7500  6 Nb 2.60
B  0.3333  0.6667  0.5770  6 Nb 2.26-2.32
B  0.3333  0.6667  0.9230  6 Nb 2.26-2.32
B  0.6667  0.3333  0.0770  6 Nb 2.26-2.32
B  0.6667  0.3333  0.4230  6 Nb 2.26-2.32

***

No. 4
Crystalline NbCoB at its relaxed geometry, computed with GGA-PBE.

Symmetry ... Pnma (62)

Lattice parameters (Å, degrees): 5.8584 3.3322 6.7818 90.00 90.00 90.00
Closest atoms and distances in Å follow each position.
Fractional coordinates of all 12 atoms:
Nb  0.0238  0.2500  0.1808  5 B 2.45-2.51, 5 Co 2.61-2.69
Nb  0.4762  0.7500  0.6808  5 B 2.45-2.51, 5 Co 2.61-2.69
Nb  0.5238  0.2500  0.3192  5 B 2.45-2.51, 5 Co 2.61-2.69
Nb  0.9762  0.7500  0.8192  5 B 2.45-2.51, 5 Co 2.61-2.69
Co  0.1432  0.2500  0.5600  4 B 2.12-2.30
Co  0.3568  0.7500  0.0600  4 B 2.12-2.30
Co  0.6432  0.2500  0.9400  4 B 2.12-2.30
Co  0.8568  0.7500  0.4400  4 B 2.12-2.30
B  0.2259  0.7500  0.3804  4 Co 2.12-2.30
B  0.2741  0.2500  0.8804  4 Co 2.12-2.30
B  0.7259  0.7500  0.1196  4 Co 2.12-2.30
B  0.7741  0.2500  0.6196  4 Co 2.12-2.30

***

No. 5
Crystalline Nb2CoB2 at its relaxed geometry, computed with GGA-PBE.

Symmetry ... Cmmm (65)

Lattice parameters (Å, degrees): 5.8514 5.8514 3.3001 90.00 90.00 149.48
Closest atoms and distances in Å follow each position.
Fractional coordinates of all 5 atoms:
Nb  0.1353  0.8647  0.0000  6 B 2.40-2.42
Nb  0.8647  0.1353  0.0000  6 B 2.40-2.42
Co  0.5000  0.5000  0.5000  2 B 2.34
B  0.2925  0.7074  0.5000  2 B 1.82
B  0.7074  0.2925  0.5000  2 B 1.82

***

No. 6
Crystalline NbCoB at its relaxed geometry, computed with GGA-PBE.

Symmetry ... F-43m (216)

Lattice parameters (Å, degrees): 3.7908 3.7908 3.7908 60.00 60.00 60.00
Closest atoms and distances in Å follow each position.
Fractional coordinates of all 3 atoms:
Nb  0.0000  0.0000  0.0000  4 Co 2.32
Co  0.7500  0.7500  0.7500  4 Nb 2.32, 4 B 2.32
B  0.5000  0.5000  0.5000  4 Co 2.32

***

Number 1: VASP energy -24.1 eV for the cell shown. Number 2: VASP energy -23.9 eV for the cell shown. Number 3: VASP energy -104.9 eV for the cell shown. Number 4: VASP energy -102.1 eV for the cell shown. Number 5: VASP energy -43.5 eV for the cell shown. Number 6: VASP energy -23.4 eV for the cell shown.